Entry 1:
BaMg2ZnSi | GGA-PBE | relaxed

Cell and atoms, written as POSCAR:
```
BaMg2ZnSi
1.0
5.282 -4.203 0.161
3.264 -1.504 5.717
-6.282 0.347 -2.451
Mg Si Ba Zn
2 1 1 1
Direct
0.754 0.254 0.500 Mg
0.254 0.754 0.500 Mg
0.390 0.390 0.000 Si
0.996 0.996 0.000 Ba
0.606 0.606 0.000 Zn
```

Properties
The value obtained for the final energy is -0.096 hartree per atom.



Entry 2:
BaMgTa | GGA-PBE | relaxed

Cell and atoms, written as POSCAR:
```
BaMgTa
1.0
2.024 0.986 4.612
3.310 3.879 0.573
-1.405 4.213 2.571
Ta Mg Ba
1 1 1
Direct
0.000 0.000 0.000 Ta
0.750 0.750 0.750 Mg
0.250 0.250 0.250 Ba
```

Properties
The value obtained for the total moment is 1.687 Bohr magnetons per cell. The value obtained for the final energy is -0.136 hartree per atom.



Entry 3:
BaTbMg | GGA-PBE | relaxed

Cell and atoms, written as POSCAR:
```
BaTbMg
1.0
1.042 -1.043 5.488
-1.318 3.886 3.931
-4.311 -0.932 3.584
Mg Ba Tb
1 1 1
Direct
0.000 0.000 0.000 Mg
0.250 0.250 0.250 Ba
0.750 0.750 0.750 Tb
```

Properties
The value obtained for the total moment is 0.188 Bohr magnetons per cell. The value obtained for the final energy is -0.083 hartree per atom.



Entry 4:
BaMg2Tc | GGA-PBE | relaxed

Cell and atoms, written as POSCAR:
```
BaMg2Tc
1.0
1.011 -5.066 -0.269
-2.189 -2.881 -3.697
2.879 -1.861 -3.874
Tc Mg Ba
1 2 1
Direct
0.000 0.000 0.000 Tc
0.250 0.250 0.250 Mg
0.500 0.500 0.500 Mg
0.750 0.750 0.750 Ba
```

Properties
The value obtained for the total moment is 0.973 Bohr magnetons per cell. The value obtained for the final energy is -0.115 hartree per atom.



no.,V (Å³/cell)
1,125.0
2,95.6
3,129.8
4,97.9